{
  "formula": "CaPu3Rh3",
  "functional": "PBE-GGA",
  "state": "optimized geometry",
  "e_above_lowest_polymorph_mev_per_atom": 0.0,
  "magmom_total_mub_per_fu": 0.00,
  "delta_e_f_ev_per_atom": -0.053,
  "cell": [[6.490, 0.000, 0.000], [3.245, 5.621, 0.000], [3.245, 1.874, 7.230]],
  "species": ["Rh", "Rh", "Ca", "Pu", "Pu", "Rh", "Rh", "Pu", "Pu", "Pu", "Pu", "Rh", "Ca", "Rh"],
  "fractional_positions": [[0.306, 0.050, 0.830], [0.050, 0.813, 0.830], [0.334, 0.334, 0.997], [0.804, 0.146, 0.580], [0.196, 0.854, 0.420], [0.187, 0.694, 0.170], [0.694, 0.950, 0.170], [0.470, 0.804, 0.580], [0.854, 0.530, 0.420], [0.530, 0.196, 0.420], [0.146, 0.470, 0.580], [0.813, 0.306, 0.830], [0.666, 0.666, 0.003], [0.950, 0.187, 0.170]]
}